# 1
Here is a geometry-optimized Nd6HoZn2 structure from Alexandria. Energies are from PBE.

Computed properties:
- DOS(E_F): 9.25 states/eV/f.u.
- Total energy: -36.93 eV/cell
- Total moment: 0.000 μB per formula unit

Unit cell a=6.673 b=6.673 c=12.096 alpha=108.88 beta=108.88 gamma=32.39
Fractional positions:
Nd  0.028  0.028  0.326
Nd  0.311  0.311  0.124
Nd  0.312  0.312  0.408
Nd  0.688  0.688  0.592
Nd  0.689  0.689  0.876
Nd  0.972  0.972  0.674
Ho  0.000  0.000  0.000
Zn  0.357  0.357  0.807
Zn  0.643  0.643  0.193


# 2
Here is a geometry-optimized Nd2Ho6Zn structure from Alexandria. Energies are from PBE.

Computed properties:
- DOS(E_F): 13.23 states/eV/f.u.
- Total energy: -75.94 eV/cell
- Total moment: 0.000 μB per formula unit

Unit cell a=9.729 b=10.205 c=5.415 alpha=90.00 beta=90.00 gamma=90.00
Fractional positions:
Nd  0.188  0.250  0.000
Nd  0.312  0.750  0.500
Nd  0.688  0.250  0.500
Nd  0.812  0.750  0.000
Ho  0.015  0.187  0.500
Ho  0.136  0.602  0.000
Ho  0.190  0.926  0.000
Ho  0.310  0.426  0.500
Ho  0.364  0.102  0.500
Ho  0.485  0.687  0.000
Ho  0.515  0.313  0.000
Ho  0.636  0.898  0.500
Ho  0.690  0.574  0.500
Ho  0.810  0.074  0.000
Ho  0.864  0.398  0.000
Ho  0.985  0.813  0.500
Zn  0.000  0.500  0.500
Zn  0.500  0.000  0.000


# 3
Here is a geometry-optimized NdHo3Zn structure from Alexandria. Energies are from PBE.

Computed properties:
- DOS(E_F): 7.64 states/eV/f.u.
- Total energy: -39.07 eV/cell
- Total moment: 0.000 μB per formula unit

Unit cell a=7.155 b=7.155 c=7.705 alpha=117.10 beta=117.10 gamma=71.11
Fractional positions:
Nd  0.050  0.050  0.304
Nd  0.950  0.950  0.696
Ho  0.114  0.520  0.290
Ho  0.421  0.421  0.732
Ho  0.480  0.886  0.710
Ho  0.520  0.114  0.290
Ho  0.579  0.579  0.268
Ho  0.886  0.480  0.710
Zn  0.273  0.273  0.940
Zn  0.727  0.727  0.060


# 4
Here is a geometry-optimized NdHoZn4 structure from Alexandria. Energies are from PBE.

Computed properties:
- Energy above the lowest structure with this stoichiometry: 0 meV/atom
- DOS(E_F): 6.00 states/eV/f.u.
- Total moment: 0.000 μB per formula unit

Unit cell a=5.763 b=5.763 c=5.763 alpha=133.98 beta=102.71 gamma=94.91
Fractional positions:
Nd  0.000  0.000  0.000
Ho  0.500  0.000  0.500
Zn  0.089  0.334  0.756
Zn  0.422  0.666  0.756
Zn  0.578  0.334  0.244
Zn  0.911  0.666  0.244


# 5
Here is a geometry-optimized Nd2HoZn3 structure from Alexandria. Energies are from PBE.

Computed properties:
- DOS(E_F): 6.30 states/eV/f.u.
- Total energy: -19.83 eV/cell
- Total moment: 0.000 μB per formula unit

Unit cell a=5.144 b=5.144 c=6.319 alpha=90.00 beta=90.00 gamma=120.00
Fractional positions:
Nd  0.333  0.667  0.176
Nd  0.667  0.333  0.824
Ho  0.000  0.000  0.500
Zn  0.000  0.000  0.000
Zn  0.333  0.667  0.665
Zn  0.667  0.333  0.335


# 6
Here is a geometry-optimized Nd2Ho2Zn structure from Alexandria. Energies are from PBE.

Computed properties:
- Energy above the lowest structure with this stoichiometry: 99 meV/atom
- DOS(E_F): 5.05 states/eV/f.u.
- Total moment: 0.000 μB per formula unit

Unit cell a=6.304 b=6.304 c=8.211 alpha=106.40 beta=106.40 gamma=97.30
Fractional positions:
Nd  0.164  0.164  0.414
Nd  0.275  0.275  0.876
Nd  0.725  0.725  0.124
Nd  0.836  0.836  0.586
Ho  0.240  0.616  0.267
Ho  0.384  0.760  0.733
Ho  0.616  0.240  0.267
Ho  0.760  0.384  0.733
Zn  0.147  0.853  0.000
Zn  0.853  0.147  0.000


# 7
Here is a geometry-optimized Nd2Ho2Zn structure from Alexandria. Energies are from PBE.

Computed properties:
- Energy above the lowest structure with this stoichiometry: 0 meV/atom
- DOS(E_F): 5.95 states/eV/f.u.
- Total moment: 0.000 μB per formula unit

Unit cell a=11.645 b=11.645 c=11.645 alpha=162.27 beta=162.27 gamma=25.18
Fractional positions:
Nd  0.191  0.191  0.000
Nd  0.809  0.809  0.000
Ho  0.424  0.424  0.000
Ho  0.576  0.576  0.000
Zn  0.000  0.000  0.000


# 8
Here is a geometry-optimized Nd2Ho3Zn2 structure from Alexandria. Energies are from PBE.

Computed properties:
- Energy above the lowest structure with this stoichiometry: 0 meV/atom
- DOS(E_F): 7.95 states/eV/f.u.
- Total moment: 0.215 μB per formula unit

Unit cell a=15.320 b=15.320 c=3.539 alpha=90.00 beta=90.00 gamma=166.38
Fractional positions:
Nd  0.199  0.801  0.000
Nd  0.801  0.199  0.000
Ho  0.081  0.919  0.000
Ho  0.500  0.500  0.500
Ho  0.919  0.081  0.000
Zn  0.364  0.636  0.500
Zn  0.636  0.364  0.500